Record 1
Compound: PrBePd
Source: OQMD
Functional: PBE
Structure: optimized geometry

Unit cell a=4.7383 b=4.7383 c=4.7383 alpha=60.00 beta=60.00 gamma=60.00
Closest atoms and distances in Å follow each position.
Fractional coordinates of all 3 atoms:
1 Pr 0.0000 0.0000 0.0000  4 Pd 2.90, 4 Be 2.90
2 Be 0.2500 0.2500 0.2500  4 Pr 2.90
3 Pd 0.7500 0.7500 0.7500  4 Pr 2.90

Results
Size of the total moment ... 0.00 μB/f.u.
Total DFT energy (no corrections) ... -4.085 eV per atom
Distance to the lowest polymorph of the same formula ... 537 meV/atom

Record 2
Compound: NaAgPtW
Source: OQMD
Functional: PBE
Structure: optimized geometry

Unit cell a=4.5185 b=4.5185 c=4.5185 alpha=60.00 beta=60.00 gamma=60.00
Closest atoms and distances in Å follow each position.
Fractional coordinates of all 4 atoms:
1 Na 0.7500 0.7500 0.7500  4 Ag 2.77, 4 W 2.77
2 Ag 0.5000 0.5000 0.5000  4 Na 2.77, 4 Pt 2.77
3 W 0.0000 0.0000 0.0000  4 Na 2.77, 4 Pt 2.77
4 Pt 0.2500 0.2500 0.2500  4 W 2.77, 4 Ag 2.77

Results
Size of the total moment ... 0.00 μB/f.u.
Total DFT energy (no corrections) ... -5.252 eV per atom
Distance to the lowest polymorph of the same formula ... 5 meV/atom

Record 3
Compound: SmGaAg
Source: OQMD
Functional: PBE
Structure: optimized geometry

Unit cell a=4.8852 b=4.8852 c=4.8852 alpha=60.00 beta=60.00 gamma=60.00
Closest atoms and distances in Å follow each position.
Fractional coordinates of all 3 atoms:
1 Ga 0.7500 0.7500 0.7500  4 Sm 2.99
2 Ag 0.2500 0.2500 0.2500  4 Sm 2.99
3 Sm 0.0000 0.0000 0.0000  4 Ga 2.99, 4 Ag 2.99

Results
Size of the total moment ... 0.02 μB/f.u.
Total DFT energy (no corrections) ... -3.436 eV per atom

- Look up the total DFT energy (no corrections) of the third one.
  -3.436 eV per atom